Entry 1:
VASP calculation (GGA-PBE) on a geometry-optimized NaCd structure.

a b c (Å): 8.841 8.841 8.841
angles (deg): 90.00 90.00 90.00
Fractional coordinates of all 12 atoms:
1 Na 0.000 0.250 0.500
2 Na 0.000 0.750 0.500
3 Na 0.250 0.500 0.000
4 Na 0.500 0.000 0.250
5 Na 0.500 0.000 0.750
6 Na 0.750 0.500 0.000
7 Cd 0.000 0.500 0.250
8 Cd 0.000 0.500 0.750
9 Cd 0.250 0.000 0.500
10 Cd 0.500 0.250 0.000
11 Cd 0.500 0.750 0.000
12 Cd 0.750 0.000 0.500

Output
Energy relative to the elements, eV per atom: 0.38
Mass density, g cm⁻³: 2.0

=====

Entry 2:
VASP calculation (GGA-PBE) on a geometry-optimized AcDy4Mg5 structure.

a b c (Å): 3.842 3.842 19.391
angles (deg): 90.00 90.00 90.00
Fractional coordinates of all 10 atoms:
1 Ac 0.000 0.000 0.000
2 Dy 0.000 0.000 0.213
3 Dy 0.000 0.000 0.404
4 Dy 0.000 0.000 0.596
5 Dy 0.000 0.000 0.787
6 Mg 0.500 0.500 0.118
7 Mg 0.500 0.500 0.308
8 Mg 0.500 0.500 0.500
9 Mg 0.500 0.500 0.692
10 Mg 0.500 0.500 0.882

Output
Energy relative to the elements, eV per atom: -0.07
Mass density, g cm⁻³: 5.8

=====

We obtain calculated total energy values of -0.734 -3.121 eV per atom for the records listed above, in that order.